(1)
This record from Alexandria via LeMat-Bulk describes CePmGeAu after structural relaxation. The functional is PBE-GGA.

abc: 5.2159 5.2159 5.2159
angles: 60.00 60.00 60.00
Last column: nearest neighbours and their distance in Å.
Element x y z (fractional)
Ge: 0.2500 0.2500 0.2500  4 Ce 3.19, 4 Pm 3.19
Au: 0.7500 0.7500 0.7500  4 Pm 3.19, 4 Ce 3.19
Ce: 0.5000 0.5000 0.5000  4 Ge 3.19, 4 Au 3.19
Pm: 0.0000 0.0000 0.0000  4 Ge 3.19, 4 Au 3.19

Computed properties:
Relative energy among the computed polymorphs (eV/atom): 0.082
Space-group type: F-43m
Total DFT energy (no corrections) (eV per atom): -5.30
Formation enthalpy at 0 K (eV/atom): -0.6549

(2)
This record from Alexandria via LeMat-Bulk describes TlSbC2 after structural relaxation. The functional is PBE-GGA.

abc: 5.2283 5.2283 6.2842
angles: 65.42 65.42 90.00
Last column: nearest neighbours and their distance in Å.
Element x y z (fractional)
Sb: 0.5000 0.5000 0.0000  4 C 2.15
Sb: 0.2500 0.7500 0.5000  4 C 2.15
Tl: 0.0000 0.0000 0.0000  4 C 2.34
Tl: 0.7500 0.2500 0.5000  4 C 2.34
C: 0.5948 0.1250 0.2500  2 Sb 2.15, 2 Tl 2.34
C: 0.1552 0.6250 0.2500  2 Sb 2.15, 2 Tl 2.34
C: 0.3750 0.4052 0.7500  2 Sb 2.15, 2 Tl 2.34
C: 0.8750 0.8448 0.7500  2 Sb 2.15, 2 Tl 2.34

Computed properties:
Uncorrected formation energy (eV per atom): 1.298
Relative energy among the computed polymorphs (eV/atom): 0.000
Space-group type: I-42d
Total DFT energy (no corrections) (eV per atom): -4.94

(3)
This record from Alexandria via LeMat-Bulk describes Th3P2Se after structural relaxation. The functional is PBE-GGA.

abc: 4.6376 7.0304 10.0742
angles: 90.00 90.00 109.26
Last column: nearest neighbours and their distance in Å.
Element x y z (fractional)
Th: 0.6302 0.2604 0.0467  3 P 2.75-2.93
Th: 0.1136 0.2272 0.7500  4 P 2.71-2.94
Th: 0.6302 0.2604 0.4533  3 P 2.75-2.93
Th: 0.8864 0.7728 0.2500  4 P 2.71-2.94
Th: 0.3698 0.7396 0.9533  3 P 2.75-2.93
Th: 0.3698 0.7396 0.5467  3 P 2.75-2.93
P: 0.0000 0.0000 0.0000  6 Th 2.93-2.94
P: 0.0000 0.0000 0.5000  6 Th 2.93-2.94
P: 0.4916 0.9832 0.2500  4 Th 2.71-2.75
P: 0.5084 0.0168 0.7500  4 Th 2.71-2.75
Se: 0.2265 0.4530 0.2500  6 Th 3.14-3.35, 1 P 3.52
Se: 0.7735 0.5470 0.7500  6 Th 3.14-3.35, 1 P 3.52

Computed properties:
Uncorrected formation energy (eV per atom): -1.084
Space-group type: Cmcm
Total DFT energy (no corrections) (eV per atom): -7.18

(4)
This record from Alexandria via LeMat-Bulk describes KFe2Te after structural relaxation. The functional is PBE-GGA.

abc: 9.9382 9.9382 9.9382
angles: 18.77 18.77 18.77
Last column: nearest neighbours and their distance in Å.
Element x y z (fractional)
Fe: 0.0171 0.0171 0.0171  3 Te 2.70
Fe: 0.4829 0.4829 0.4829  3 Te 2.70
K: 0.2500 0.2500 0.2500  6 K 3.24, 6 Fe 3.49
Te: 0.7500 0.7500 0.7500  6 Fe 2.70

Computed properties:
Uncorrected formation energy (eV per atom): 0.916
Space-group type: R-3m
Total DFT energy (no corrections) (eV per atom): -4.38

(5)
This record from Alexandria via LeMat-Bulk describes Zn2MoCl after structural relaxation. The functional is PBE-GGA.

abc: 5.3962 5.3962 5.3962
angles: 140.35 140.35 57.32
Last column: nearest neighbours and their distance in Å.
Element x y z (fractional)
Cl: 0.2500 0.7500 0.5000  4 Mo 2.59
Mo: 0.7500 0.2500 0.5000  4 Cl 2.59
Zn: 0.0000 0.0000 0.0000  4 Zn 2.59
Zn: 0.5000 0.5000 0.0000  4 Zn 2.59

Computed properties:
Uncorrected formation energy (eV per atom): 0.537
Relative energy among the computed polymorphs (eV/atom): 0.457
Space-group type: I4/mmm
Total DFT energy (no corrections) (eV per atom): -3.27

(6)
This record from Alexandria via LeMat-Bulk describes SrCuSbI2 after structural relaxation. The functional is PBE-GGA.

abc: 6.2865 6.2865 6.6947
angles: 90.00 90.00 90.00
Last column: nearest neighbours and their distance in Å.
Element x y z (fractional)
I: 0.0000 0.5000 0.0000  2 Sr 3.14
I: 0.5000 0.0000 0.0000  2 Sr 3.14
Sb: 0.0000 0.0000 0.5000  2 Sr 3.35
Cu: 0.5000 0.5000 0.5000  4 Sb 4.45, 8 I 4.59
Sr: 0.0000 0.0000 0.0000  4 I 3.14, 2 Sb 3.35

Computed properties:
Uncorrected formation energy (eV per atom): 0.236
Relative energy among the computed polymorphs (eV/atom): 0.574
Space-group type: P4/mmm
Total DFT energy (no corrections) (eV per atom): -2.36

(7)
This record from Alexandria via LeMat-Bulk describes LaHo2InC after structural relaxation. The functional is PBE-GGA.

abc: 5.1711 4.9484 4.9484
angles: 90.00 90.00 90.00
Last column: nearest neighbours and their distance in Å.
Element x y z (fractional)
La: 0.5000 0.0000 0.0000  2 C 2.59
Ho: 0.0000 0.0000 0.5000  2 C 2.47
Ho: 0.0000 0.5000 0.0000  2 C 2.47
In: 0.5000 0.5000 0.5000  4 La 3.50, 8 Ho 3.58
C: 0.0000 0.0000 0.0000  4 Ho 2.47, 2 La 2.59

Computed properties:
Space-group type: P4/mmm
Total DFT energy (no corrections) (eV per atom): -5.62
Formation enthalpy at 0 K (eV/atom): -0.4155

(8)
This record from Alexandria via LeMat-Bulk describes ZrAu2Br after structural relaxation. The functional is PBE-GGA.

abc: 4.0048 4.0048 5.1163
angles: 90.00 90.00 90.00
Last column: nearest neighbours and their distance in Å.
Element x y z (fractional)
Au: 0.0000 0.0000 0.0000  4 Au 2.83
Au: 0.5000 0.5000 0.0000  4 Au 2.83
Br: 0.5000 0.0000 0.5000  4 Zr 2.83
Zr: 0.0000 0.5000 0.5000  4 Br 2.83

Computed properties:
Uncorrected formation energy (eV per atom): -0.070
Relative energy among the computed polymorphs (eV/atom): 0.384
Space-group type: P4/mmm
Total DFT energy (no corrections) (eV per atom): -4.26